Entry 1:
A relaxed GdSI crystal, computed with PBE.

## Properties
The calculation puts the uncorrected formation energy at -1742 meV/atom. The calculation puts the total magnetic moment at 2.33 μB/atom. As for the calculated volume: 36.86 Å³/atom. The energy above the most stable polymorph in this dataset comes out at 75.1 meV/atom.

Cell lengths 4.2236, 4.2236, 7.1570 Å; angles 90.00, 90.00, 120.00 degrees
Each line ends with the local moment (μB).
Fractional coordinates of all 3 atoms:
Gd  0.6667  0.3333  0.3783  6.95
I  0.0000  0.0000  0.0865  -0.01
S  0.3333  0.6667  0.5351  -0.02

Entry 2:
A relaxed Gd2ScI crystal, computed with PBE.

## Properties
The calculation puts the uncorrected formation energy at -27 meV/atom. The calculation puts the total magnetic moment at 3.97 μB/atom. As for the calculated volume: 31.44 Å³/atom. The energy above the most stable polymorph in this dataset comes out at 274.2 meV/atom.

Cell lengths 3.6030, 3.6030, 11.3775 Å; angles 80.89, 80.89, 60.00 degrees
Each line ends with the local moment (μB).
Fractional coordinates of all 4 atoms:
I  0.5000  0.5000  0.5000  -0.01
Sc  0.0000  0.0000  0.0000  0.28
Gd  0.0925  0.0925  0.7224  7.36
Gd  0.9075  0.9075  0.2776  7.36

Entry 3:
A relaxed Gd2ScI crystal, computed with PBE.

## Properties
The calculation puts the uncorrected formation energy at -301 meV/atom. The calculation puts the total magnetic moment at 3.76 μB/atom. As for the calculated volume: 30.19 Å³/atom. The energy above the most stable polymorph in this dataset comes out at 0.0 meV/atom.

Cell lengths 3.6442, 3.6442, 9.0943 Å; angles 90.00, 90.00, 90.00 degrees
Each line ends with the local moment (μB).
Fractional coordinates of all 4 atoms:
Gd  0.0000  0.0000  0.2424  7.20
I  0.5000  0.5000  0.5000  -0.02
Sc  0.5000  0.5000  0.0000  0.06
Gd  0.0000  0.0000  0.7576  7.20